No. 1
The following is a PBE calculation of Ho3Zn2C after structural relaxation, from the Alexandria database.

Geometry as POSCAR:
```
Ho3Zn2C
1.0
6.861 0.000 0.000
-3.430 5.941 0.000
0.000 0.000 6.458
Ho Zn C
6 4 2
Direct
0.690 0.845 0.250
0.155 0.310 0.250
0.155 0.845 0.250
0.310 0.155 0.750
0.845 0.690 0.750
0.845 0.155 0.750
0.333 0.667 0.930
0.667 0.333 0.430
0.667 0.333 0.070
0.333 0.667 0.570
0.000 0.000 0.000
0.000 0.000 0.500
```

## Properties
Space group: No. 194
E_form: -261 meV/atom


No. 2
The following is a PBE calculation of SrCa2PbCl8 after structural relaxation, from the Alexandria database.

Geometry as POSCAR:
```
SrCa2PbCl8
1.0
-2.220 5.354 -3.354
-4.890 0.639 4.254
4.943 5.126 4.912
Sr Ca Pb Cl
1 2 1 8
Direct
0.000 0.000 0.500
0.500 0.500 0.750
0.500 0.500 0.250
0.000 0.000 0.000
0.180 0.768 0.251
0.663 0.712 0.000
0.820 0.232 0.251
0.820 0.232 0.749
0.337 0.288 0.000
0.180 0.768 0.749
0.664 0.712 0.500
0.336 0.288 0.500
```

## Properties
Space group: No. 10
Formation energy from raw total energies: -25.185 eV/f.u.


no.,density (g/cm3),E_tot (eV per atom)
1,8.0,-4.5123
2,2.9,-4.1126